Record 1
# SrTl2In (PBE, relaxed)
data_SrTl2In
_cell_length_a 5.518
_cell_length_b 3.952
_cell_length_c 5.817
_cell_angle_alpha 89.94
_cell_angle_beta 90.00
_cell_angle_gamma 90.00
_symmetry_space_group_name_H-M 'P 1'
_symmetry_Int_Tables_number 1
loop_
_symmetry_equiv_pos_as_xyz
'x,y,z'
loop_
_atom_site_label
_atom_site_type_symbol
_atom_site_fract_x
_atom_site_fract_y
_atom_site_fract_z
_atom_site_occupancy
Tl1 Tl 0.500 0.375 0.195 1
Sr1 Sr 0.500 0.875 0.691 1
Tl2 Tl 0.000 0.874 0.074 1
In1 In 0.000 0.375 0.540 1
# - Space-group type: Pmm2, No. 25
# - Energy of formation from the pure elements: -0.225 eV/atom

=====

Record 2
# Zr3IrF (PBE, relaxed)
data_Zr3IrF
_cell_length_a 4.457
_cell_length_b 4.457
_cell_length_c 4.457
_cell_angle_alpha 90.00
_cell_angle_beta 90.00
_cell_angle_gamma 90.00
_symmetry_space_group_name_H-M 'P 1'
_symmetry_Int_Tables_number 1
loop_
_symmetry_equiv_pos_as_xyz
'x,y,z'
loop_
_atom_site_label
_atom_site_type_symbol
_atom_site_fract_x
_atom_site_fract_y
_atom_site_fract_z
_atom_site_occupancy
Ir1 Ir 0.500 0.500 0.500 1
Zr1 Zr 0.000 0.500 0.000 1
Zr2 Zr 0.500 0.000 0.000 1
Zr3 Zr 0.000 0.000 0.500 1
F1 F 0.000 0.000 0.000 1
# - Space-group type: Pm-3m, No. 221
# - Offset from the most stable computed form: 0.0 meV/atom
# - E_form (uncorrected): -663 meV/atom

=====

Record 3
# La8Zn3SiI4 (PBE, relaxed)
data_La8Zn3SiI4
_cell_length_a 8.902
_cell_length_b 9.249
_cell_length_c 8.900
_cell_angle_alpha 118.75
_cell_angle_beta 120.01
_cell_angle_gamma 90.00
_symmetry_space_group_name_H-M 'P 1'
_symmetry_Int_Tables_number 1
loop_
_symmetry_equiv_pos_as_xyz
'x,y,z'
loop_
_atom_site_label
_atom_site_type_symbol
_atom_site_fract_x
_atom_site_fract_y
_atom_site_fract_z
_atom_site_occupancy
Zn1 Zn 0.000 0.500 0.500 1
I1 I 0.500 0.000 0.500 1
I2 I 0.000 0.000 0.000 1
I3 I 0.500 0.000 0.000 1
La1 La 0.766 0.285 0.531 1
La2 La 0.234 0.715 0.469 1
Si1 Si 0.000 0.500 0.000 1
La3 La 0.746 0.715 0.980 1
La4 La 0.766 0.285 0.020 1
Zn2 Zn 0.500 0.500 0.000 1
La5 La 0.234 0.715 0.980 1
La6 La 0.254 0.285 0.020 1
La7 La 0.741 0.722 0.481 1
Zn3 Zn 0.500 0.500 0.500 1
I4 I 0.000 0.000 0.500 1
La8 La 0.259 0.278 0.519 1
# - Space-group type: R-3m, No. 166
# - E_form (uncorrected): -702 meV/atom

=====

Record 4
# AcCe3Dy2Te6 (PBE, relaxed)
data_AcCe3Dy2Te6
_cell_length_a 7.751
_cell_length_b 7.751
_cell_length_c 7.828
_cell_angle_alpha 99.54
_cell_angle_beta 99.54
_cell_angle_gamma 120.09
_symmetry_space_group_name_H-M 'P 1'
_symmetry_Int_Tables_number 1
loop_
_symmetry_equiv_pos_as_xyz
'x,y,z'
loop_
_atom_site_label
_atom_site_type_symbol
_atom_site_fract_x
_atom_site_fract_y
_atom_site_fract_z
_atom_site_occupancy
Ce1 Ce 0.500 0.500 0.500 1
Dy1 Dy 0.331 0.669 0.000 1
Te1 Te 0.434 0.084 0.251 1
Te2 Te 0.084 0.434 0.251 1
Dy2 Dy 0.669 0.331 0.000 1
Te3 Te 0.272 0.272 0.761 1
Ac1 Ac 0.000 0.000 0.000 1
Te4 Te 0.566 0.916 0.749 1
Ce2 Ce 0.843 0.157 0.500 1
Ce3 Ce 0.157 0.843 0.500 1
Te5 Te 0.916 0.566 0.749 1
Te6 Te 0.728 0.728 0.239 1
# - Space-group type: C2/m, No. 12
# - E_form (uncorrected): -1352 meV/atom

=====

Record 5
# AcPuPaPb (PBE, relaxed)
data_AcPuPaPb
_cell_length_a 5.545
_cell_length_b 5.545
_cell_length_c 5.545
_cell_angle_alpha 60.00
_cell_angle_beta 60.00
_cell_angle_gamma 60.00
_symmetry_space_group_name_H-M 'P 1'
_symmetry_Int_Tables_number 1
loop_
_symmetry_equiv_pos_as_xyz
'x,y,z'
loop_
_atom_site_label
_atom_site_type_symbol
_atom_site_fract_x
_atom_site_fract_y
_atom_site_fract_z
_atom_site_occupancy
Pb1 Pb 0.250 0.250 0.250 1
Pa1 Pa 0.750 0.750 0.750 1
Pu1 Pu 0.500 0.500 0.500 1
Ac1 Ac 0.000 0.000 0.000 1
# - Space-group type: F-43m, No. 216
# - Energy of formation from the pure elements: 0.272 eV/atom

=====

Record 6
# YHoAlCd (PBE, relaxed)
data_YHoAlCd
_cell_length_a 5.194
_cell_length_b 5.194
_cell_length_c 5.194
_cell_angle_alpha 60.00
_cell_angle_beta 60.00
_cell_angle_gamma 60.00
_symmetry_space_group_name_H-M 'P 1'
_symmetry_Int_Tables_number 1
loop_
_symmetry_equiv_pos_as_xyz
'x,y,z'
loop_
_atom_site_label
_atom_site_type_symbol
_atom_site_fract_x
_atom_site_fract_y
_atom_site_fract_z
_atom_site_occupancy
Al1 Al 0.500 0.500 0.500 1
Y1 Y 0.750 0.750 0.750 1
Ho1 Ho 0.250 0.250 0.250 1
Cd1 Cd 0.000 0.000 0.000 1
# - Space-group type: F-43m, No. 216
# - Energy of formation from the pure elements: -0.368 eV/atom
# - Offset from the most stable computed form: 12.0 meV/atom